Entry a
! MgHgTeO GGA-PBE optimized geometry; values from VASP
! space group: P4/nmm (129)
&SYSTEM
  ibrav = 0, nat = 8, ntyp = 4
/
ATOMIC_SPECIES
Hg 200.59 Hg.upf
Mg 24.30 Mg.upf
Te 127.60 Te.upf
O 16.00 O.upf
ATOMIC_POSITIONS crystal
Hg 0.250 0.250 0.866
Mg 0.750 0.750 0.717
Te 0.750 0.250 0.500
Te 0.250 0.750 0.500
O 0.250 0.250 0.094
Hg 0.750 0.750 0.134
Mg 0.250 0.250 0.283
O 0.750 0.750 0.906
CELL_PARAMETERS angstrom
-3.399 2.803 -0.288
-1.138 -1.777 -3.878
-5.590 -6.314 4.533

=====

Entry b
! MgHgTeO GGA-PBE optimized geometry; values from VASP
! space group: P4/nmm (129)
&SYSTEM
  ibrav = 0, nat = 8, ntyp = 4
/
ATOMIC_SPECIES
Hg 200.59 Hg.upf
Mg 24.30 Mg.upf
O 16.00 O.upf
Te 127.60 Te.upf
ATOMIC_POSITIONS crystal
Hg 0.750 0.750 0.127
Mg 0.250 0.250 0.495
Mg 0.750 0.750 0.505
O 0.250 0.750 0.500
Te 0.250 0.250 0.183
O 0.750 0.250 0.500
Te 0.750 0.750 0.817
Hg 0.250 0.250 0.873
CELL_PARAMETERS angstrom
-3.520 -1.871 -0.703
1.479 -3.395 1.634
-3.421 2.960 9.247

=====

Which structure loses on stability? entry a does.

=====

Entry a
! YAgPbS3 GGA-PBE optimized geometry; values from VASP
! space group: Pnma (62)
&SYSTEM
  ibrav = 0, nat = 24, ntyp = 4
/
ATOMIC_SPECIES
S 32.06 S.upf
Ag 107.87 Ag.upf
Y 88.91 Y.upf
Pb 207.20 Pb.upf
ATOMIC_POSITIONS crystal
S 0.250 0.329 0.743
S 0.750 0.343 0.468
S 0.250 0.171 0.243
Ag 0.750 0.312 0.255
Y 0.750 0.669 0.026
S 0.750 0.671 0.257
Ag 0.750 0.188 0.755
S 0.250 0.843 0.032
Pb 0.250 0.518 0.337
Ag 0.250 0.688 0.745
S 0.750 0.829 0.757
Y 0.750 0.831 0.526
S 0.750 0.433 0.086
Y 0.250 0.169 0.474
Ag 0.250 0.812 0.245
S 0.250 0.567 0.914
Pb 0.750 0.482 0.663
S 0.250 0.933 0.414
Pb 0.750 0.018 0.163
Y 0.250 0.331 0.974
S 0.750 0.067 0.586
S 0.250 0.657 0.532
S 0.750 0.157 0.968
Pb 0.250 0.982 0.837
CELL_PARAMETERS angstrom
4.089 0.000 0.000
0.000 11.685 0.000
0.000 0.000 11.833

=====

Entry b
! YAgPbS3 GGA-PBE optimized geometry; values from VASP
! space group: Pnma (62)
&SYSTEM
  ibrav = 0, nat = 24, ntyp = 4
/
ATOMIC_SPECIES
Y 88.91 Y.upf
Pb 207.20 Pb.upf
S 32.06 S.upf
Ag 107.87 Ag.upf
ATOMIC_POSITIONS crystal
Y 0.980 0.250 0.240
Pb 0.784 0.750 0.497
Y 0.480 0.250 0.260
S 0.032 0.750 0.384
Pb 0.216 0.250 0.503
S 0.735 0.250 0.339
S 0.076 0.250 0.893
S 0.468 0.250 0.884
Ag 0.766 0.250 0.718
Pb 0.284 0.750 0.003
S 0.265 0.750 0.661
S 0.924 0.750 0.107
S 0.235 0.250 0.161
S 0.765 0.750 0.839
Y 0.520 0.750 0.740
Ag 0.734 0.750 0.218
Ag 0.234 0.750 0.282
S 0.532 0.750 0.116
Y 0.020 0.750 0.760
S 0.424 0.750 0.393
Pb 0.716 0.250 0.997
S 0.576 0.250 0.607
Ag 0.266 0.250 0.782
S 0.968 0.250 0.616
CELL_PARAMETERS angstrom
-1.791 0.905 -10.296
1.969 -3.464 -0.647
-11.267 -6.660 1.374

=====

Which structure loses on stability? entry a does.